[1]
A geometry-optimized CsRbBr2 structure. Source: Alexandria, functional PBE.

The density of states at the Fermi level is 0.000 states/eV/atom. The calculation puts the total magnetization at 0.0 μB per formula unit. Its total energy is -12.22 eV/f.u. The formation energy (no corrections) comes out at -40.66 kcal/mol of atoms.

The structure belongs to space group Pmmn (No. 59, origin choice 2); the cell edges are 5.0663, 7.2005 and 10.1864 Å and the angles 90.00°, 90.00° and 90.00°. Symmetry generates all atoms from Cs at (0.2500, 0.2500, 0.1274), Rb at (0.2500, 0.2500, 0.6209), Br at (0.2500, 0.7500, 0.1374) and Br at (0.2500, 0.7500, 0.6150).

[2]
A geometry-optimized Cs2RbBr structure. Source: Alexandria, functional PBE.

The density of states at the Fermi level is 0.485 states/eV/atom. The calculation puts the total magnetization at 0.0 μB per formula unit. Its total energy is -7.78 eV/f.u. The formation energy (no corrections) comes out at -19.78 kcal/mol of atoms.

The structure belongs to space group R3m (No. 160, hexagonal axes); the cell edges are 5.1895, 5.1895 and 39.3309 Å and the angles 90.00°, 90.00° and 120.00°. Symmetry generates all atoms from Cs at (0.0000, 0.0000, 0.0000), Cs at (0.0000, 0.0000, 0.2228), Rb at (0.0000, 0.0000, 0.4450) and Br at (0.0000, 0.0000, 0.6113).

[3]
A geometry-optimized Cs2RbBr structure. Source: Alexandria, functional PBE.

The density of states at the Fermi level is 0.000 states/eV/atom. The calculation puts the total magnetization at 0.0 μB per formula unit. Its total energy is -6.63 eV/f.u. The formation energy (no corrections) comes out at -13.16 kcal/mol of atoms.

The structure belongs to space group Fm-3m (No. 225); the cell edges are 10.4347, 10.4347 and 10.4347 Å and the angles 90.00°, 90.00° and 90.00°. Symmetry generates all atoms from Cs at (0.2500, 0.2500, 0.2500), Rb at (0.0000, 0.0000, 0.0000) and Br at (0.0000, 0.0000, 0.5000).

[4]
A geometry-optimized CsRbBr2 structure. Source: Alexandria, functional PBE.

The density of states at the Fermi level is 0.000 states/eV/atom. The calculation puts the total magnetization at 0.0 μB per formula unit. Its total energy is -12.03 eV/f.u. The formation energy (no corrections) comes out at -39.60 kcal/mol of atoms.

The structure belongs to space group P4/mmm (No. 123); the cell edges are 4.2819, 4.2819 and 8.5895 Å and the angles 90.00°, 90.00° and 90.00°. Symmetry generates all atoms from Cs at (0.0000, 0.0000, 0.0000), Rb at (0.0000, 0.0000, 0.5000) and Br at (0.5000, 0.5000, 0.2597).

[5]
A geometry-optimized Cs3RbBr4 structure. Source: Alexandria, functional PBE.

The density of states at the Fermi level is 0.000 states/eV/atom. The calculation puts the total magnetization at 0.0 μB per formula unit. Its total energy is -24.40 eV/f.u. The formation energy (no corrections) comes out at -40.88 kcal/mol of atoms.

The structure belongs to space group Cmmm (No. 65); the cell edges are 10.3037, 14.5558 and 5.1508 Å and the angles 90.00°, 90.00° and 90.00°. Symmetry generates all atoms from Cs at (0.0000, 0.0000, 0.0000), Cs at (0.2500, 0.2500, 0.5000), Rb at (0.0000, 0.5000, 0.0000), Br at (0.0000, 0.2550, 0.0000) and Br at (0.2410, 0.5000, 0.5000).

[6]
A geometry-optimized CsRb2Br7 structure. Source: Alexandria, functional PBE.

The density of states at the Fermi level is 0.000 states/eV/atom. The calculation puts the total magnetization at 0.0 μB per formula unit. Its total energy is -22.97 eV/f.u. The formation energy (no corrections) comes out at -19.53 kcal/mol of atoms.

The structure belongs to space group I4/mmm (No. 139); the cell edges are 8.2576, 8.2576 and 14.4515 Å and the angles 90.00°, 90.00° and 90.00°. Symmetry generates all atoms from Cs at (0.0000, 0.0000, 0.0000), Rb at (0.0000, 0.5000, 0.2500), Br at (0.0000, 0.0000, 0.2380), Br at (0.0000, 0.0000, 0.5000) and Br at (0.2173, 0.2173, 0.5000).

[7]
A geometry-optimized Cs8Rb2Br structure. Source: Alexandria, functional PBE.

The density of states at the Fermi level is 0.994 states/eV/atom. The calculation puts the total magnetization at 0.0 μB per formula unit. Its total energy is -13.65 eV/f.u. The formation energy (no corrections) comes out at -6.73 kcal/mol of atoms.

The structure belongs to space group Cm (No. 8); the cell edges are 13.1325, 25.9728 and 7.9768 Å and the angles 90.00°, 127.36° and 90.00°. Symmetry generates all atoms from Cs at (0.0000, 0.0000, 0.0000), Cs at (0.0001, 0.5000, 0.4997), Cs at (0.0035, 0.2065, 0.0026), Cs at (0.2429, 0.1024, 0.7423), Cs at (0.2603, 0.3976, 0.2598), Rb at (0.0037, 0.3094, 0.5029) and Br at (0.0015, 0.0000, 0.5009).

[8]
A geometry-optimized Cs4Rb2Br structure. Source: Alexandria, functional PBE.

The density of states at the Fermi level is 0.714 states/eV/atom. The calculation puts the total magnetization at 0.0 μB per formula unit. Its total energy is -10.20 eV/f.u. The formation energy (no corrections) comes out at -10.46 kcal/mol of atoms.

The structure belongs to space group I4/mmm (No. 139); the cell edges are 7.2138, 7.2138 and 25.3155 Å and the angles 90.00°, 90.00° and 90.00°. Symmetry generates all atoms from Cs at (0.0000, 0.0000, 0.1479), Cs at (0.0000, 0.5000, 0.0000), Rb at (0.0000, 0.0000, 0.3385) and Br at (0.0000, 0.0000, 0.0000).